# 1
A relaxed structure of V2Co2Ni5, computed with GGA-PBE.

Values from the calculation:
energy relative to the elements: -0.12 eV/atom
Fermi-level density of states: 12.4 states/eV per cell
final energy: -0.2549 hartree per atom
space-group type: No. 2

Lattice parameters (Å, degrees): 4.381 4.317 6.156 89.93 61.49 99.11
Sites, in units of the cell vectors:
V: 0.691 0.125 0.752
V: 0.309 0.875 0.248
Co: 0.998 0.676 0.672
Co: 0.002 0.324 0.328
Ni: 0.669 0.438 0.108
Ni: 0.331 0.562 0.892
Ni: 0.663 0.773 0.448
Ni: 0.337 0.227 0.552
Ni: 0.000 0.000 0.000

***

# 2
A relaxed structure of V4Co7Ni, computed with GGA-PBE.

Values from the calculation:
energy relative to the elements: 0.24 eV/atom
Fermi-level density of states: 15.2 states/eV per cell
final energy: -0.2727 hartree per atom
space-group type: No. 12

Lattice parameters (Å, degrees): 4.222 7.821 5.096 80.04 65.53 74.34
Sites, in units of the cell vectors:
V: 0.600 0.226 0.574
V: 0.400 0.774 0.426
V: 0.741 0.674 0.844
V: 0.259 0.326 0.156
Co: 0.785 0.910 0.519
Co: 0.215 0.090 0.481
Co: 0.065 0.665 0.206
Co: 0.935 0.335 0.794
Co: 0.361 0.535 0.743
Co: 0.500 0.000 0.000
Co: 0.639 0.465 0.257
Ni: 0.000 0.000 0.000

***

# 3
A relaxed structure of V2Co2Ni, computed with GGA-PBE.

Values from the calculation:
energy relative to the elements: 0.15 eV/atom
Fermi-level density of states: 14.8 states/eV per cell
final energy: -0.2755 hartree per atom
space-group type: No. 14

Lattice parameters (Å, degrees): 5.004 4.913 6.761 90.00 132.74 90.00
Sites, in units of the cell vectors:
V: 0.499 0.250 0.607
V: 0.501 0.750 0.893
V: 0.501 0.750 0.393
V: 0.499 0.250 0.107
Co: 0.999 0.085 0.660
Co: 0.001 0.586 0.840
Co: 0.001 0.915 0.340
Co: 0.999 0.415 0.160
Ni: 0.000 0.000 0.000
Ni: 0.000 0.500 0.500

***

# 4
A relaxed structure of VCoNi2, computed with GGA-PBE.

Values from the calculation:
energy relative to the elements: -0.20 eV/atom
Fermi-level density of states: 1.6 states/eV per cell
final energy: -0.2626 hartree per atom
space-group type: No. 123

Lattice parameters (Å, degrees): 3.654 3.486 3.486 90.00 90.00 90.00
Sites, in units of the cell vectors:
Ni: 0.000 0.000 0.500
Ni: 0.000 0.500 0.000
Co: 0.500 0.000 0.000
V: 0.500 0.500 0.500

***

# 5
A relaxed structure of VCoNi, computed with GGA-PBE.

Values from the calculation:
energy relative to the elements: -0.12 eV/atom
Fermi-level density of states: 7.2 states/eV per cell
final energy: -0.2739 hartree per atom
space-group type: No. 8

Lattice parameters (Å, degrees): 2.652 6.572 7.089 42.27 68.00 90.03
Sites, in units of the cell vectors:
V: 0.180 0.195 0.491
V: 0.866 0.509 0.805
Co: 0.209 0.677 0.962
Co: 0.848 0.038 0.323
Ni: 0.691 0.016 0.984
Ni: 0.705 0.532 0.468

***

# 6
A relaxed structure of VCo3Ni12, computed with GGA-PBE.

Values from the calculation:
energy relative to the elements: -0.04 eV/atom
Fermi-level density of states: 24.6 states/eV per cell
final energy: -0.2306 hartree per atom
space-group type: No. 123

Lattice parameters (Å, degrees): 3.530 3.530 14.119 90.00 90.00 90.00
Sites, in units of the cell vectors:
V: 0.000 0.000 0.000
Co: 0.000 0.000 0.254
Co: 0.000 0.000 0.500
Co: 0.000 0.000 0.746
Ni: 0.500 0.500 0.000
Ni: 0.500 0.500 0.251
Ni: 0.500 0.500 0.500
Ni: 0.500 0.500 0.749
Ni: 0.500 0.000 0.125
Ni: 0.500 0.000 0.376
Ni: 0.500 0.000 0.624
Ni: 0.500 0.000 0.875
Ni: 0.000 0.500 0.125
Ni: 0.000 0.500 0.376
Ni: 0.000 0.500 0.624
Ni: 0.000 0.500 0.875

***

# 7
A relaxed structure of VCo4Ni5, computed with GGA-PBE.

Values from the calculation:
energy relative to the elements: 0.25 eV/atom
Fermi-level density of states: 14.0 states/eV per cell
final energy: -0.2349 hartree per atom
space-group type: No. 71

Lattice parameters (Å, degrees): 3.974 5.851 5.851 84.63 70.15 70.15
Sites, in units of the cell vectors:
V: 0.250 0.000 0.000
Co: 0.250 0.329 0.671
Co: 0.526 0.224 0.224
Co: 0.974 0.776 0.776
Co: 0.250 0.671 0.329
Ni: 0.523 0.548 0.906
Ni: 0.977 0.094 0.452
Ni: 0.750 0.500 0.500
Ni: 0.523 0.906 0.548
Ni: 0.977 0.452 0.094

***

# 8
A relaxed structure of V6CoNi3, computed with GGA-PBE.

Values from the calculation:
energy relative to the elements: 0.04 eV/atom
Fermi-level density of states: 13.2 states/eV per cell
final energy: -0.2893 hartree per atom
space-group type: No. 12

Lattice parameters (Å, degrees): 6.571 4.871 4.871 57.83 74.39 74.39
Sites, in units of the cell vectors:
V: 0.309 0.089 0.586
V: 0.691 0.414 0.911
V: 0.691 0.911 0.414
V: 0.309 0.586 0.089
V: 0.078 0.645 0.645
V: 0.922 0.355 0.355
Co: 0.500 0.500 0.500
Ni: 0.311 0.096 0.096
Ni: 0.689 0.904 0.904
Ni: 0.000 0.000 0.000

***

# 9
A relaxed structure of V2CoNi, computed with GGA-PBE.

Values from the calculation:
energy relative to the elements: -0.08 eV/atom
Fermi-level density of states: 21.5 states/eV per cell
final energy: -0.2890 hartree per atom
space-group type: No. 12

Lattice parameters (Å, degrees): 5.372 6.152 5.827 90.00 90.00 88.83
Sites, in units of the cell vectors:
V: 0.000 0.000 0.736
V: 0.000 0.500 0.236
V: 0.000 0.000 0.264
V: 0.000 0.500 0.764
V: 0.297 0.220 0.000
V: 0.297 0.720 0.500
V: 0.703 0.780 0.000
V: 0.703 0.280 0.500
Co: 0.782 0.226 0.000
Co: 0.218 0.274 0.500
Co: 0.218 0.774 0.000
Co: 0.782 0.726 0.500
Ni: 0.500 0.000 0.714
Ni: 0.500 0.000 0.286
Ni: 0.500 0.500 0.214
Ni: 0.500 0.500 0.786

***

# 10
A relaxed structure of V2CoNi, computed with GGA-PBE.

Values from the calculation:
energy relative to the elements: -0.02 eV/atom
Fermi-level density of states: 6.4 states/eV per cell
final energy: -0.2866 hartree per atom
space-group type: No. 123

Lattice parameters (Å, degrees): 2.965 2.965 5.593 90.00 90.00 90.00
Sites, in units of the cell vectors:
V: 0.000 0.000 0.251
V: 0.000 0.000 0.749
Co: 0.500 0.500 0.500
Ni: 0.500 0.500 0.000

***

# 11
A relaxed structure of V2Co2Ni3, computed with GGA-PBE.

Values from the calculation:
energy relative to the elements: 0.12 eV/atom
Fermi-level density of states: 10.0 states/eV per cell
final energy: -0.2571 hartree per atom
space-group type: No. 65

Lattice parameters (Å, degrees): 3.984 2.421 8.797 90.00 103.06 90.00
Sites, in units of the cell vectors:
V: 0.421 0.500 0.843
V: 0.579 0.500 0.157
Co: 0.142 0.000 0.283
Co: 0.858 0.000 0.717
Ni: 0.286 0.000 0.572
Ni: 0.000 0.000 0.000
Ni: 0.714 0.000 0.428

***

# 12
A relaxed structure of V4Co2Ni, computed with GGA-PBE.

Values from the calculation:
energy relative to the elements: 0.77 eV/atom
Fermi-level density of states: 8.9 states/eV per cell
final energy: -0.2681 hartree per atom
space-group type: No. 139

Lattice parameters (Å, degrees): 4.224 4.224 6.535 71.14 71.14 90.00
Sites, in units of the cell vectors:
Ni: 0.000 0.000 0.000
Co: 0.388 0.388 0.224
Co: 0.612 0.612 0.776
V: 0.203 0.203 0.594
V: 0.797 0.797 0.406
V: 0.000 0.500 0.000
V: 0.500 0.000 0.000

***

> The lowest Fermi-level density of states belongs to which entry?

VCoNi2

***

> The highest energy relative to the elements belongs to which entry?

V4Co2Ni

***

> Which formula does entry 4 have?

VCoNi2